1.
Density functional theory data (PBE) for a relaxed Rb2BiPt2 crystal.

Computed properties:
E_form in meV/atom: 534
Polymorph energy (0 for the lowest one) in eV per atom: 0.7381
Space-group type: No. 139

POSCAR file:
```
Rb2BiPt2
1.0
4.338 0.000 0.000
0.000 4.338 0.000
2.169 2.169 7.552
Pt Bi Rb
2 1 2
direct
0.586 0.586 0.827
0.414 0.414 0.173
0.000 0.000 0.000
0.750 0.250 0.500
0.250 0.750 0.500
```

***

2.
Density functional theory data (PBE) for a relaxed Dy5Tl2Bi crystal.

Computed properties:
E_form in meV/atom: -410
Space-group type: No. 140

POSCAR file:
```
Dy5Tl2Bi
1.0
8.478 0.000 0.000
0.000 8.478 0.000
-4.239 -4.239 6.516
Tl Dy Bi
4 10 2
direct
0.150 0.350 0.000
0.650 0.150 0.000
0.350 0.850 0.000
0.850 0.650 0.000
0.000 0.000 0.000
0.301 0.801 0.299
0.498 0.301 0.299
0.199 0.002 0.701
0.801 0.998 0.299
0.002 0.502 0.701
0.699 0.199 0.701
0.500 0.500 0.000
0.998 0.498 0.299
0.502 0.699 0.701
0.250 0.250 0.500
0.750 0.750 0.500
```

***

3.
Density functional theory data (PBE) for a relaxed CaZr2Pt2 crystal.

Computed properties:
E_form in meV/atom: -777
Polymorph energy (0 for the lowest one) in eV per atom: 0.0606
Space-group type: No. 127

POSCAR file:
```
CaZr2Pt2
1.0
7.928 0.000 0.000
0.000 7.928 0.000
0.000 0.000 3.377
Zr Ca Pt
4 2 4
direct
0.840 0.340 0.500
0.160 0.660 0.500
0.340 0.160 0.500
0.660 0.840 0.500
0.000 0.000 0.000
0.500 0.500 0.000
0.368 0.868 0.000
0.132 0.368 0.000
0.632 0.132 0.000
0.868 0.632 0.000
```

***

4.
Density functional theory data (PBE) for a relaxed TmSc2Ni crystal.

Computed properties:
E_form in meV/atom: -85
Polymorph energy (0 for the lowest one) in eV per atom: 0.1870
Space-group type: No. 160

POSCAR file:
```
TmSc2Ni
1.0
-3.286 1.245 -0.540
-2.374 -0.041 2.646
0.661 8.169 3.107
Tm Sc Ni
1 2 1
direct
0.502 0.502 0.494
0.059 0.059 0.823
0.273 0.273 0.180
0.666 0.666 0.002
```

***

5.
Density functional theory data (PBE) for a relaxed LaTb5Er4 crystal.

Computed properties:
E_form in meV/atom: 185
Polymorph energy (0 for the lowest one) in eV per atom: 0.0000
Space-group type: No. 12

POSCAR file:
```
LaTb5Er4
1.0
3.474 0.000 -0.707
-0.114 10.865 -0.560
-0.027 0.433 8.792
Er Tb La
4 5 1
direct
0.350 0.750 0.699
0.974 0.253 0.949
0.026 0.747 0.051
0.650 0.250 0.301
0.173 0.552 0.347
0.827 0.448 0.653
0.826 0.056 0.651
0.174 0.944 0.349
0.500 0.500 0.000
0.500 0.000 0.000
```

***

6.
Density functional theory data (PBE) for a relaxed TlGe2F2 crystal.

Computed properties:
Polymorph energy (0 for the lowest one) in eV per atom: 0.0000
Formation energy (no corrections) in kcal/mol of atoms: -20.66
Space-group type: No. 139

POSCAR file:
```
TlGe2F2
1.0
-2.313 2.211 -1.822
-2.857 -1.958 1.251
-3.008 4.398 5.434
Ge F Tl
2 2 1
direct
0.250 0.750 0.500
0.750 0.250 0.500
0.608 0.608 0.785
0.392 0.392 0.215
0.000 0.000 0.000
```

***

no.,E (eV per atom)
1,-3.045
2,-4.363
3,-7.013
4,-5.814
5,-4.448
6,-3.965